# Li3Sn

An optimized crystal structure of Li3Sn (PBE, the Alexandria database).

Values from the calculation:
- calculated volume (Å³/cell) = 73.9
- final energy (eV/atom) = -2.74
- space group = P4/mmm, No. 123

Lattice parameters (Å, degrees): 4.5587 4.5587 3.5549 90.00 90.00 90.00
Fractional coordinates of all 4 atoms:
1 Li 0.0000 0.0000 0.0000
2 Li 0.0000 0.5000 0.5000
3 Li 0.5000 0.0000 0.5000
4 Sn 0.5000 0.5000 0.0000

=====

# Li5Sn2

An optimized crystal structure of Li5Sn2 (PBE, the Alexandria database).

Values from the calculation:
- offset from the most stable computed form (eV per atom) = 0.089
- calculated volume (Å³/cell) = 268.0
- space group = Ibam, No. 72

Lattice parameters (Å, degrees): 7.6766 7.6766 7.6766 114.47 81.09 137.79
Fractional coordinates of all 14 atoms:
1 Li 0.0204 0.2500 0.7704
2 Li 0.0888 0.6312 0.7201
3 Li 0.2500 0.2500 0.0000
4 Li 0.4112 0.1312 0.5424
5 Li 0.4796 0.2500 0.2296
6 Li 0.5204 0.7500 0.7704
7 Li 0.5888 0.8688 0.4576
8 Li 0.7500 0.7500 0.0000
9 Li 0.9112 0.3688 0.2799
10 Li 0.9796 0.7500 0.2296
11 Sn 0.1443 0.2596 0.4038
12 Sn 0.3557 0.7596 0.1153
13 Sn 0.6443 0.2404 0.8847
14 Sn 0.8557 0.7404 0.5962